[1]
The following is a DFT calculation (PBE) of a relaxed structure of TlNiC3.

Cell: 4.3502 4.3502 4.3502 Å, 90.00 90.00 90.00°
With the nearest neighbours (Å) after each atom.
Space group Pm-3m (No. 221)
Symmetry-distinct sites (fractional):
Tl: 0.0000 0.0000 0.0000  6 C 2.18
Ni: 0.5000 0.5000 0.5000  12 C 3.08
C: 0.0000 0.0000 0.5000  2 Tl 2.18

Magnetic moment in μB/f.u.: 0.3
Calculated formation energy in kJ per mole of atoms: 367.2
E above lowest polymorph in meV per atom: 1467

---

[2]
The following is a DFT calculation (PBE) of a relaxed structure of CaCeZnBi.

Cell: 7.6456 7.6456 7.6456 Å, 90.00 90.00 90.00°
With the nearest neighbours (Å) after each atom.
Space group F-43m (No. 216)
Symmetry-distinct sites (fractional):
Ca: 0.0000 0.0000 0.0000  4 Bi 3.31, 4 Zn 3.31
Ce: 0.0000 0.0000 0.5000  4 Zn 3.31, 4 Bi 3.31
Zn: 0.2500 0.2500 0.7500  4 Ce 3.31, 4 Ca 3.31
Bi: 0.2500 0.2500 0.2500  4 Ce 3.31, 4 Ca 3.31

Magnetic moment in μB/f.u.: 1.1
Calculated formation energy in kJ per mole of atoms: -38.3

---

| no. | raw total energy (eV per atom) |
| --- | --- |
| 1 | -3.3583 |
| 2 | -3.6696 |